# Ac2ErCrO6

A relaxed Ac2ErCrO6 crystal (PBE+U, Alexandria).

Values from the calculation:
DFT total energy in eV/cell: -81.00
Space-group type: No. 12

The structure in extended XYZ format:
```
10
Lattice="5.899 0.000 -0.347 0.000 5.833 0.000 -2.779 -2.916 4.318" Properties=species:S:1:pos:R:3 pbc="T T T"
O 4.369 4.420 0.177
O -1.250 1.504 3.794
O 0.626 2.916 2.136
O -1.250 -1.504 3.794
O 2.494 0.000 1.835
O 4.369 1.412 0.177
Ac 3.110 2.916 1.872
Ac 0.009 0.000 2.099
Er 0.000 2.916 0.000
Cr 2.950 0.000 -0.173
```